The following is a DFT calculation (GGA-PBE) of a relaxed DyCo4Cu crystal.

a = 6.9113 Å, b = 6.9113 Å, c = 6.9113 Å
α = 90.00°, β = 90.00°, γ = 90.00°
Space group F-43m (No. 216)
One atom of each set of equivalent atoms:
Dy (0.0000, 0.0000, 0.0000) [4 per cell]
Co (0.1241, 0.1241, 0.3759) [16 per cell]
Cu (0.2500, 0.2500, 0.7500) [4 per cell]

Calculated values
VASP energy: -6.241 eV per atom
calculated volume: 330 Å³/cell
ΔH_f (0 K): -0.05 eV/atom